{"formula": "ReMo4", "functional": "meta-GGA SCAN", "state": "PBEsol geometry", "total_energy_ev_per_cell": -210.619, "n_ef_per_ev_cell": 3.553, "delta_e_f_kj_per_mol_fu": 2, "vol_a3_per_cell": 75.7, "total_magnetization_mub_per_atom": 0.0000, "cell": [[3.1139, 0.0000, 0.0000], [1.5569, 4.9296, 0.0000], [1.5569, 0.0000, 4.9296]], "species": ["Re", "Mo", "Mo", "Mo", "Mo"], "frac_coords": [[0.0000, 0.0000, 0.0000], [0.3968, 0.8023, 0.4041], [0.6032, 0.1977, 0.5959], [0.8009, 0.5959, 0.8023], [0.1991, 0.4041, 0.1977]]}

---

{"formula": "ReMoRh2", "functional": "meta-GGA SCAN", "state": "PBEsol geometry", "total_energy_ev_per_cell": -174.096, "n_ef_per_ev_cell": 2.843, "delta_e_f_kj_per_mol_fu": -55, "relative_energy_ev_per_fu": 0.367, "vol_a3_per_cell": 56.3, "total_magnetization_mub_per_atom": 0.0000, "cell": [[2.6858, 0.0000, 0.0000], [0.0000, 3.8992, 0.0000], [0.0000, 0.0000, 5.3746]], "species": ["Re", "Mo", "Rh", "Rh"], "frac_coords": [[0.5000, 0.5000, 0.5000], [0.5000, 0.5000, 0.0000], [0.0000, 0.0000, 0.7469], [0.0000, 0.0000, 0.2531]]}

---

{"formula": "ReMoRh2", "functional": "meta-GGA SCAN", "state": "PBEsol geometry", "total_energy_ev_per_cell": -173.677, "n_ef_per_ev_cell": 3.889, "delta_e_f_kj_per_mol_fu": -15, "relative_energy_ev_per_fu": 0.787, "vol_a3_per_cell": 56.6, "total_magnetization_mub_per_atom": 0.0000, "cell": [[2.7092, 0.0000, 0.0000], [0.0000, 4.6882, -0.0010], [0.0000, -1.5626, 4.4545]], "species": ["Mo", "Re", "Rh", "Rh"], "frac_coords": [[0.5000, 0.0000, 0.5000], [0.0000, 0.5000, 0.5000], [0.0000, 0.0000, 0.0000], [0.5000, 0.5000, 0.0000]]}

---

{"formula": "ReMoRh2", "functional": "meta-GGA SCAN", "state": "PBEsol geometry", "total_energy_ev_per_cell": -174.464, "n_ef_per_ev_cell": 2.092, "delta_e_f_kj_per_mol_fu": -90, "relative_energy_ev_per_fu": 0.000, "vol_a3_per_cell": 56.1, "total_magnetization_mub_per_atom": 0.0000, "cell": [[2.7008, 0.0000, 0.0000], [0.0000, 4.3562, 0.0000], [0.0000, 0.0000, 4.7642]], "species": ["Re", "Mo", "Rh", "Rh"], "frac_coords": [[0.5000, 0.5000, 0.2060], [0.5000, 0.0000, 0.5411], [0.0000, 0.0000, 0.0454], [0.0000, 0.5000, 0.7075]]}